Below is BeSeN2 after structural relaxation, with properties calculated at the PBE-GGA level.

Summary:
* magnetization: 0.00 μB per formula unit
* DOS at the Fermi energy: 2.16 states/eV/f.u.
* space group: R-3m
* raw formation energy: 0.73 eV/atom
* excess energy over the best structure of this formula in the dataset: 4.599 kcal/mol of atoms
* electronic total energy: -20.92 eV per cell

The structure in POSCAR format:
```
BeSeN2
1.0
1.475 0.852 5.442
-1.475 0.852 5.442
0.000 -1.703 5.442
Be Se N
1 1 2
direct
0.000 0.000 0.000 Be
0.500 0.500 0.500 Se
0.387 0.387 0.387 N
0.613 0.613 0.613 N
```


Below is BeSe2N after structural relaxation, with properties calculated at the PBE-GGA level.

Summary:
* magnetization: 0.00 μB per formula unit
* DOS at the Fermi energy: 2.10 states/eV/f.u.
* space group: I-42d
* raw formation energy: 0.62 eV/atom
* excess energy over the best structure of this formula in the dataset: 0.000 kcal/mol of atoms
* electronic total energy: -33.11 eV per cell

The structure in POSCAR format:
```
BeSe2N
1.0
-2.428 2.428 5.725
2.428 -2.428 5.725
2.428 2.428 -5.725
Be Se N
2 4 2
direct
0.000 0.000 0.000 Be
0.750 0.250 0.500 Be
0.139 0.625 0.014 Se
0.375 0.389 0.514 Se
0.611 0.125 0.986 Se
0.875 0.861 0.486 Se
0.250 0.750 0.500 N
0.500 0.500 0.000 N
```


Below is BeSeN2 after structural relaxation, with properties calculated at the PBE-GGA level.

Summary:
* magnetization: 0.00 μB per formula unit
* DOS at the Fermi energy: 1.44 states/eV/f.u.
* space group: Fm-3m
* raw formation energy: 1.68 eV/atom
* excess energy over the best structure of this formula in the dataset: 26.464 kcal/mol of atoms
* electronic total energy: -17.13 eV per cell

The structure in POSCAR format:
```
BeSeN2
1.0
0.000 2.664 2.664
2.664 0.000 2.664
2.664 2.664 0.000
Be Se N
1 1 2
direct
0.000 0.000 0.000 Be
0.500 0.500 0.500 Se
0.250 0.250 0.250 N
0.750 0.750 0.750 N
```